A plane-wave DFT calculation with GGA+U was carried out for a relaxed Ba2MoO4F crystal.

The total energy comes out at -6.54 eV per atom.

It has space group C2/m (No. 12), with a = 10.432 Å, b = 3.435 Å, c = 8.775 Å, α = 90.00°, β = 114.92° and γ = 90.00°. The asymmetric unit holds Ba at (0.164, 0.000, 0.237), Mo at (0.000, 0.000, 0.500), O at (0.105, 0.500, 0.453), O at (0.132, 0.000, 0.726) and F at (0.000, 0.500, 0.000).